Entry from Alexandria: an optimized crystal structure of Mn2CoMo (PBE).

Cell and atoms, written as CIF:
```
data_Mn2CoMo
_cell_length_a 2.5591
_cell_length_b 2.5591
_cell_length_c 7.5702
_cell_angle_alpha 90.00
_cell_angle_beta 90.00
_cell_angle_gamma 90.00
_space_group_name_H-M_alt 'P 4/m m m'
_space_group_IT_number 123
_space_group_name_Hall '-P 4 2'
loop_
_atom_site_label
_atom_site_type_symbol
_atom_site_fract_x
_atom_site_fract_y
_atom_site_fract_z
_atom_site_occupancy
Mn1 Mn 0.0000 0.0000 0.2214 1
Co1 Co 0.5000 0.5000 0.0000 1
Mo1 Mo 0.5000 0.5000 0.5000 1
```

Values from the calculation:
**Calculated total energy**: -8.9021 eV/atom
**Energy of formation**: 0.1670 eV per atom